Record 1
VASP calculation (PBE) on a geometry-optimized PuMg16Al12 structure.

Summary:
- Space group: Cm
- Total DFT energy (no corrections): -2.830 eV per atom

```
PuMg16Al12
1.0
7.3961 -4.2152 3.0389
0.0709 8.5809 3.0772
-7.4968 -4.3556 3.0874
Al Mg Pu
12 16 1
Direct
0.6346 0.0032 0.8141
0.3674 0.3680 0.1806
0.1889 0.8221 0.1861
0.8205 0.1891 0.1859
0.8194 0.6269 0.0000
0.6343 0.8110 0.0000
0.8193 0.0002 0.6345
0.1848 0.3656 0.3655
0.1868 0.1874 0.8194
0.3694 0.1799 0.3638
0.0027 0.6360 0.8139
0.0056 0.8161 0.6362
0.6819 0.2854 0.6833
0.6889 0.6893 0.2940
0.9994 0.3153 0.6025
0.6043 0.0020 0.3173
0.3969 0.7128 0.3975
0.9951 0.9965 0.0000
0.3949 0.3954 0.7060
0.9912 0.3467 0.0000
0.9968 0.0020 0.3411
0.3195 0.5976 0.0000
0.9986 0.6021 0.3167
0.3137 0.9980 0.5964
0.2870 0.6847 0.6827
0.3379 0.9898 0.0000
0.7173 0.4016 0.4036
0.6557 0.6609 0.6589
0.5872 0.3146 0.0000
```

***

Record 2
VASP calculation (PBE) on a geometry-optimized CsSmTe3Ir structure.

Summary:
- Space group: Cmcm
- Total DFT energy (no corrections): -4.799 eV per atom

```
CsSmTe3Ir
1.0
-6.0930 2.4262 7.0271
2.2980 -2.6111 -8.9607
-0.9203 -10.4321 2.8039
Cs Ir Te Sm
2 2 6 2
Direct
0.2519 0.7481 0.2500
0.7481 0.2519 0.7500
0.4962 0.5038 0.7500
0.5038 0.4962 0.2500
0.3897 0.6103 0.5904
0.9186 0.0814 0.2500
0.0814 0.9186 0.7500
0.6103 0.3897 0.0905
0.3897 0.6103 0.9096
0.6103 0.3897 0.4095
0.0000 0.0000 0.0000
0.0000 0.0000 0.5000
```